Record 1
Here is a relaxed structure of Sr3Li2AsO6 from Alexandria via LeMat-Bulk. Energies are from PBE.

It has space group P-3m1 (No. 164), with a = 5.6168 Å, b = 5.6168 Å, c = 6.4948 Å, α = 90.00°, β = 90.00° and γ = 120.00°. The inequivalent atoms are Sr at (0.0000, 0.0000, 0.0000), Sr at (0.3333, 0.6667, 0.6329), Li at (0.3333, 0.6667, 0.2136), As at (0.0000, 0.0000, 0.5000) and O at (0.1567, 0.3133, 0.3275).

The uncorrected formation energy is -2.07 eV/atom. Its calculated total energy is -5.674 eV/atom.

Record 2
Here is a relaxed structure of Sr2LiAsO6 from Alexandria via LeMat-Bulk. Energies are from PBE.

It has space group Fm-3m (No. 225), with a = 7.8747 Å, b = 7.8747 Å, c = 7.8747 Å, α = 90.00°, β = 90.00° and γ = 90.00°. The inequivalent atoms are Sr at (0.2500, 0.2500, 0.2500), Li at (0.0000, 0.0000, 0.0000), As at (0.0000, 0.0000, 0.5000) and O at (0.0000, 0.0000, 0.2664).

The uncorrected formation energy is -1.92 eV/atom. Its calculated total energy is -5.885 eV/atom.

Record 3
Here is a relaxed structure of Sr2LiAsO from Alexandria via LeMat-Bulk. Energies are from PBE.

It has space group P4/mmm (No. 123), with a = 5.0568 Å, b = 5.0568 Å, c = 4.2255 Å, α = 90.00°, β = 90.00° and γ = 90.00°. The inequivalent atoms are Sr at (0.0000, 0.5000, 0.0000), Li at (0.0000, 0.0000, 0.5000), As at (0.5000, 0.5000, 0.5000) and O at (0.0000, 0.0000, 0.0000).

The uncorrected formation energy is -1.65 eV/atom. Its calculated total energy is -4.631 eV/atom.

Record 4
Here is a relaxed structure of Sr3LiAs2O8 from Alexandria via LeMat-Bulk. Energies are from PBE.

It has space group P-3m1 (No. 164), with a = 5.6771 Å, b = 5.6771 Å, c = 7.2575 Å, α = 90.00°, β = 90.00° and γ = 120.00°. The inequivalent atoms are Sr at (0.0000, 0.0000, 0.0000), Sr at (0.3333, 0.6667, 0.6405), Li at (0.0000, 0.0000, 0.5000), As at (0.3333, 0.6667, 0.2059), O at (0.1700, 0.3400, 0.3106) and O at (0.3333, 0.6667, 0.9646).

The uncorrected formation energy is -2.07 eV/atom. Its calculated total energy is -6.066 eV/atom.

Record 5
Here is a relaxed structure of Sr2LiAs2O6 from Alexandria via LeMat-Bulk. Energies are from PBE.

It has space group R-3m (No. 166, hexagonal axes), with a = 5.8335 Å, b = 5.8335 Å, c = 16.9897 Å, α = 90.00°, β = 90.00° and γ = 120.00°. The inequivalent atoms are Sr at (0.0000, 0.0000, 0.2123), Li at (0.0000, 0.0000, 0.0000), As at (0.0000, 0.0000, 0.4304) and O at (0.0176, 0.5088, 0.7516).

The uncorrected formation energy is -1.72 eV/atom. Its calculated total energy is -5.750 eV/atom.

Record 6
Here is a relaxed structure of LiTaAsO6 from Alexandria via LeMat-Bulk. Energies are from PBE.

It has space group P-31c (No. 163), with a = 5.1460 Å, b = 5.1460 Å, c = 9.1692 Å, α = 90.00°, β = 90.00° and γ = 120.00°. The inequivalent atoms are Li at (0.0000, 0.0000, 0.0000), Ta at (0.3333, 0.6667, 0.2500), As at (0.3333, 0.6667, 0.7500) and O at (0.0214, 0.3766, 0.6376).

The uncorrected formation energy is -1.74 eV/atom. Its calculated total energy is -7.089 eV/atom.

Record 7
Here is a relaxed structure of Li2TaAsO8 from Alexandria via LeMat-Bulk. Energies are from PBE.

It has space group P-3m1 (No. 164), with a = 5.7744 Å, b = 5.7744 Å, c = 5.2577 Å, α = 90.00°, β = 90.00° and γ = 120.00°. The inequivalent atoms are Li at (0.3333, 0.6667, 0.1427), Ta at (0.0000, 0.0000, 0.5000), As at (0.0000, 0.0000, 0.0000), O at (0.1449, 0.2897, 0.2303) and O at (0.3333, 0.6667, 0.7460).

The uncorrected formation energy is -1.12 eV/atom. Its calculated total energy is -6.118 eV/atom.

Record 8
Here is a relaxed structure of LiTaAs2O8 from Alexandria via LeMat-Bulk. Energies are from PBE.

It has space group I-4m2 (No. 119), with a = 6.6938 Å, b = 6.6938 Å, c = 6.0594 Å, α = 90.00°, β = 90.00° and γ = 90.00°. The inequivalent atoms are Li at (0.0000, 0.0000, 0.0000), Ta at (0.0000, 0.5000, 0.7500), As at (0.0000, 0.0000, 0.5000), As at (0.0000, 0.5000, 0.2500), O at (0.0000, 0.1985, 0.6774) and O at (0.0000, 0.3158, 0.0507).

The uncorrected formation energy is -1.71 eV/atom. Its calculated total energy is -6.937 eV/atom.